Entry 1:
The following is a GGA-PBE calculation of ZrGa2Re2 after structural relaxation, from Alexandria via LeMat-Bulk.

- Final energy: -7.93 eV per atom
- DFT formation energy: -0.0307 eV/atom
- V: 16.17 Å³/atom
- Crystal system: tetragonal

```
data_ZrGa2Re2
_chemical_formula_sum 'Zr2 Ga4 Re4'
_space_group_name_H-M_alt 'P 4/m b m'
_space_group_IT_number 127
_space_group_name_Hall '-P 4 2ab'
_cell_length_a 7.203
_cell_length_b 7.203
_cell_length_c 3.116
_cell_angle_alpha 90.00
_cell_angle_beta 90.00
_cell_angle_gamma 90.00
loop_
_atom_site_label
_atom_site_fract_x
_atom_site_fract_y
_atom_site_fract_z
Zr1 0.000 0.000 0.000
Ga1 0.137 0.363 0.000
Re1 0.156 0.656 0.500
```

---

Entry 2:
The following is a GGA-PBE calculation of Sm3Ho8Sc2 after structural relaxation, from Alexandria via LeMat-Bulk.

- E above lowest polymorph: 2 meV/atom
- Final energy: -4.64 eV per atom
- DFT formation energy: 0.2452 eV/atom
- V: 31.99 Å³/atom
- Crystal system: monoclinic

```
data_Sm3Ho8Sc2
_chemical_formula_sum 'Sm6 Ho16 Sc4'
_space_group_name_H-M_alt 'C 1 2/m 1'
_space_group_IT_number 12
_cell_length_a 19.451
_cell_length_b 7.685
_cell_length_c 5.565
_cell_angle_alpha 90.00
_cell_angle_beta 90.03
_cell_angle_gamma 90.00
loop_
_space_group_symop_operation_xyz
'x,y,z'
'-x,-y,-z'
'-x,y,-z'
'x,-y,z'
'x+1/2,y+1/2,z'
'-x+1/2,-y+1/2,-z'
'-x+1/2,y+1/2,-z'
'x+1/2,-y+1/2,z'
loop_
_atom_site_label
_atom_site_fract_x
_atom_site_fract_y
_atom_site_fract_z
Sm1 0.000 0.000 0.000
Sm2 0.000 0.292 0.500
Ho1 0.113 0.291 0.000
Ho2 0.136 0.000 0.500
Ho3 0.178 0.500 0.501
Sc1 0.241 0.000 0.999
```

---

Entry 3:
The following is a GGA-PBE calculation of As2PtCl after structural relaxation, from Alexandria via LeMat-Bulk.

- E above lowest polymorph: 618 meV/atom
- Final energy: -4.03 eV per atom
- V: 19.37 Å³/atom
- ΔE_f (raw): 102 kJ/mol of formula units
- Crystal system: orthorhombic

```
data_As2PtCl
_chemical_formula_sum 'As4 Pt2 Cl2'
_space_group_name_H-M_alt 'C m m 2'
_space_group_IT_number 35
_cell_length_a 3.261
_cell_length_b 5.444
_cell_length_c 8.729
_cell_angle_alpha 90.00
_cell_angle_beta 90.00
_cell_angle_gamma 90.00
loop_
_space_group_symop_operation_xyz
'x,y,z'
'-x,-y,z'
'-x,y,z'
'x,-y,z'
'x+1/2,y+1/2,z'
'-x+1/2,-y+1/2,z'
'-x+1/2,y+1/2,z'
'x+1/2,-y+1/2,z'
loop_
_atom_site_label
_atom_site_fract_x
_atom_site_fract_y
_atom_site_fract_z
As1 0.000 0.000 0.000
As2 0.000 0.500 0.265
Pt1 0.000 0.500 0.788
Cl1 0.000 0.000 0.562
```

---

Entry 4:
The following is a GGA-PBE calculation of Sr2Y2Sn after structural relaxation, from Alexandria via LeMat-Bulk.

- Final energy: -4.14 eV per atom
- DFT formation energy: -0.0812 eV/atom
- V: 38.71 Å³/atom
- Crystal system: tetragonal

```
data_Sr2Y2Sn
_chemical_formula_sum 'Sr4 Y4 Sn2'
_space_group_name_H-M_alt 'P 4/m b m'
_space_group_IT_number 127
_space_group_name_Hall '-P 4 2ab'
_cell_length_a 8.164
_cell_length_b 8.164
_cell_length_c 5.808
_cell_angle_alpha 90.00
_cell_angle_beta 90.00
_cell_angle_gamma 90.00
loop_
_atom_site_label
_atom_site_fract_x
_atom_site_fract_y
_atom_site_fract_z
Sr1 0.165 0.335 0.000
Y1 0.152 0.652 0.500
Sn1 0.000 0.000 0.500
```

---

Entry 5:
The following is a GGA-PBE calculation of Rb2GaAu after structural relaxation, from Alexandria via LeMat-Bulk.

- Final energy: -1.84 eV per atom
- DFT formation energy: 0.2243 eV/atom
- V: 46.17 Å³/atom
- Crystal system: trigonal

```
data_Rb2GaAu
_chemical_formula_sum 'Rb6 Ga3 Au3'
_space_group_name_H-M_alt 'R -3 m'
_space_group_IT_number 166
_space_group_name_Hall '-R 3 2"'
_cell_length_a 4.2431
_cell_length_b 4.2431
_cell_length_c 35.5295
_cell_angle_alpha 90.00
_cell_angle_beta 90.00
_cell_angle_gamma 120.00
loop_
_atom_site_label
_atom_site_fract_x
_atom_site_fract_y
_atom_site_fract_z
Rb1 0.0000 0.0000 0.1005
Ga1 0.0000 0.0000 0.0000
Au1 0.0000 0.0000 0.5000
```

---

Entry 6:
The following is a GGA-PBE calculation of Mg4As5 after structural relaxation, from Alexandria via LeMat-Bulk.

- E above lowest polymorph: 0 meV/atom
- Final energy: -3.43 eV per atom
- DFT formation energy: -0.1365 eV/atom
- V: 19.53 Å³/atom
- Crystal system: hexagonal

```
data_Mg4As5
_chemical_formula_sum 'Mg8 As10'
_space_group_name_H-M_alt 'P 63/m c m'
_space_group_IT_number 193
_space_group_name_Hall '-P 6c 2'
_cell_length_a 8.3639
_cell_length_b 8.3639
_cell_length_c 5.8012
_cell_angle_alpha 90.00
_cell_angle_beta 90.00
_cell_angle_gamma 120.00
loop_
_atom_site_label
_atom_site_fract_x
_atom_site_fract_y
_atom_site_fract_z
Mg1 0.0000 0.0000 0.0000
Mg2 0.0000 0.3744 0.2500
As1 0.0000 0.2933 0.7500
As2 0.3333 0.6667 0.0000
```

---

Entry 7:
The following is a GGA-PBE calculation of CaLa2Pr4 after structural relaxation, from Alexandria via LeMat-Bulk.

- E above lowest polymorph: 632 meV/atom
- Final energy: -3.77 eV per atom
- DFT formation energy: 0.6519 eV/atom
- V: 41.46 Å³/atom
- Crystal system: tetragonal

```
data_CaLa2Pr4
_chemical_formula_sum 'Ca2 La4 Pr8'
_space_group_name_H-M_alt 'I 4/m m m'
_space_group_IT_number 139
_space_group_name_Hall '-I 4 2'
_cell_length_a 5.735
_cell_length_b 5.735
_cell_length_c 17.649
_cell_angle_alpha 90.00
_cell_angle_beta 90.00
_cell_angle_gamma 90.00
loop_
_atom_site_label
_atom_site_fract_x
_atom_site_fract_y
_atom_site_fract_z
Ca1 0.000 0.000 0.000
La1 0.000 0.000 0.384
Pr1 0.000 0.000 0.186
Pr2 0.000 0.500 0.000
```

---

Entry 8:
The following is a GGA-PBE calculation of Sr2ClF after structural relaxation, from Alexandria via LeMat-Bulk.

- E above lowest polymorph: 573 meV/atom
- Final energy: -3.31 eV per atom
- V: 26.19 Å³/atom
- ΔE_f (raw): -594 kJ/mol of formula units
- Crystal system: cubic

```
data_Sr2ClF
_chemical_formula_sum 'Sr8 Cl4 F4'
_space_group_name_H-M_alt 'F m -3 m'
_space_group_IT_number 225
_space_group_name_Hall '-F 4 2 3'
_cell_length_a 7.483
_cell_length_b 7.483
_cell_length_c 7.483
_cell_angle_alpha 90.00
_cell_angle_beta 90.00
_cell_angle_gamma 90.00
loop_
_atom_site_label
_atom_site_fract_x
_atom_site_fract_y
_atom_site_fract_z
Sr1 0.250 0.250 0.250
Cl1 0.000 0.000 0.000
F1 0.000 0.000 0.500
```

---

Entry 9:
The following is a GGA-PBE calculation of LaNd2SmTl4 after structural relaxation, from Alexandria via LeMat-Bulk.

- Final energy: -3.97 eV per atom
- DFT formation energy: -0.3903 eV/atom
- V: 30.04 Å³/atom
- Crystal system: trigonal

```
data_LaNd2SmTl4
_chemical_formula_sum 'La3 Nd6 Sm3 Tl12'
_space_group_name_H-M_alt 'R -3 m'
_space_group_IT_number 166
_space_group_name_Hall '-R 3 2"'
_cell_length_a 5.5365
_cell_length_b 5.5365
_cell_length_c 27.1630
_cell_angle_alpha 90.00
_cell_angle_beta 90.00
_cell_angle_gamma 120.00
loop_
_atom_site_label
_atom_site_fract_x
_atom_site_fract_y
_atom_site_fract_z
La1 0.0000 0.0000 0.0000
Nd1 0.0000 0.0000 0.2497
Sm1 0.0000 0.0000 0.5000
Tl1 0.0000 0.0000 0.1263
Tl2 0.0000 0.0000 0.3763
```

---

Entry 10:
The following is a GGA-PBE calculation of Tb3HoGa8 after structural relaxation, from Alexandria via LeMat-Bulk.

- Final energy: -4.12 eV per atom
- DFT formation energy: -0.5607 eV/atom
- V: 19.79 Å³/atom
- Crystal system: trigonal

```
data_Tb3HoGa8
_chemical_formula_sum 'Tb9 Ho3 Ga24'
_space_group_name_H-M_alt 'R 3 m'
_space_group_IT_number 160
_space_group_name_Hall 'R 3 -2"'
_cell_length_a 5.4927
_cell_length_b 5.4927
_cell_length_c 27.2719
_cell_angle_alpha 90.00
_cell_angle_beta 90.00
_cell_angle_gamma 120.00
loop_
_atom_site_label
_atom_site_fract_x
_atom_site_fract_y
_atom_site_fract_z
Tb1 0.0000 0.0000 0.0000
Tb2 0.0000 0.0000 0.1240
Tb3 0.0000 0.0000 0.6238
Ho1 0.0000 0.0000 0.5001
Ga1 0.0000 0.0000 0.3119
Ga2 0.0000 0.0000 0.8120
Ga3 0.0001 0.5001 0.0622
Ga4 0.9999 0.5000 0.5618
```

---

Entry 11:
The following is a GGA-PBE calculation of Ta2Nb2Cu after structural relaxation, from Alexandria via LeMat-Bulk.

- E above lowest polymorph: 0 meV/atom
- Final energy: -9.10 eV per atom
- DFT formation energy: 0.4888 eV/atom
- V: 18.37 Å³/atom
- Crystal system: tetragonal

```
data_Ta2Nb2Cu
_chemical_formula_sum 'Ta4 Nb4 Cu2'
_space_group_name_H-M_alt 'P 4/m b m'
_space_group_IT_number 127
_space_group_name_Hall '-P 4 2ab'
_cell_length_a 7.002
_cell_length_b 7.002
_cell_length_c 3.747
_cell_angle_alpha 90.00
_cell_angle_beta 90.00
_cell_angle_gamma 90.00
loop_
_atom_site_label
_atom_site_fract_x
_atom_site_fract_y
_atom_site_fract_z
Ta1 0.161 0.339 0.000
Nb1 0.144 0.644 0.500
Cu1 0.000 0.000 0.500
```

---

Entry 12:
The following is a GGA-PBE calculation of CaAcCeIn after structural relaxation, from Alexandria via LeMat-Bulk.

- Final energy: -3.66 eV per atom
- DFT formation energy: 0.0347 eV/atom
- V: 33.32 Å³/atom
- Crystal system: cubic

```
data_CaAcCeIn
_chemical_formula_sum 'Ca4 Ac4 Ce4 In4'
_space_group_name_H-M_alt 'F -4 3 m'
_space_group_IT_number 216
_space_group_name_Hall 'F -4 2 3'
_cell_length_a 8.109
_cell_length_b 8.109
_cell_length_c 8.109
_cell_angle_alpha 90.00
_cell_angle_beta 90.00
_cell_angle_gamma 90.00
loop_
_atom_site_label
_atom_site_fract_x
_atom_site_fract_y
_atom_site_fract_z
Ca1 0.000 0.000 0.000
Ac1 0.250 0.250 0.250
Ce1 0.000 0.000 0.500
In1 0.250 0.250 0.750
```

---

What is the V in the fifth record?
46.17 Å³/atom